(1)
Pm2GaRe | GGA-PBE | optimized geometry

Unit cell a=3.1340 b=3.1340 c=10.9875 alpha=81.80 beta=81.80 gamma=60.00
Atoms (fractional coordinates):
1 Re 0.0000 0.0000 0.0000
2 Ga 0.5000 0.5000 0.5000
3 Pm 0.0867 0.0867 0.7398
4 Pm 0.9133 0.9133 0.2602

Properties
crystal system	trigonal
final energy	-0.20565	Ha/atom
space-group type	R-3m


(2)
Pm3Ga4Rh4 | GGA-PBE | optimized geometry

Unit cell a=6.6430 b=6.6430 c=6.6430 alpha=109.47 beta=109.47 gamma=109.47
Atoms (fractional coordinates):
1 Pm 0.5000 0.5000 0.0000
2 Pm 0.5000 0.0000 0.5000
3 Pm 0.0000 0.5000 0.5000
4 Ga 0.0000 0.2571 0.0000
5 Ga 0.0000 0.0000 0.2571
6 Ga 0.2571 0.0000 0.0000
7 Ga 0.7429 0.7429 0.7429
8 Rh 0.0000 0.6164 0.0000
9 Rh 0.6164 0.0000 0.0000
10 Rh 0.0000 0.0000 0.6164
11 Rh 0.3836 0.3836 0.3836

Properties
distance to the lowest polymorph of the same formula	0.113	eV per atom
crystal system	cubic
final energy	-0.21041	Ha/atom
space-group type	I-43m


(3)
PmGaRh2 | GGA-PBE | optimized geometry

Unit cell a=3.6170 b=4.4148 c=4.4148 alpha=90.00 beta=90.00 gamma=90.00
Atoms (fractional coordinates):
1 Rh 0.0000 0.0000 0.5000
2 Rh 0.0000 0.5000 0.0000
3 Ga 0.5000 0.0000 0.0000
4 Pm 0.5000 0.5000 0.5000

Properties
crystal system	tetragonal
final energy	-0.23120	Ha/atom
space-group type	P4/mmm


(4)
PmGa2Rh3 | GGA-PBE | optimized geometry

Unit cell a=3.8206 b=5.6453 c=5.6453 alpha=120.00 beta=90.00 gamma=90.00
Atoms (fractional coordinates):
1 Pm 0.0000 0.0000 0.0000
2 Ga 0.0000 0.6667 0.3333
3 Ga 0.0000 0.3333 0.6667
4 Rh 0.5000 0.0000 0.5000
5 Rh 0.5000 0.5000 0.5000
6 Rh 0.5000 0.5000 0.0000

Properties
crystal system	hexagonal
final energy	-0.23039	Ha/atom
space-group type	P6/mmm


(5)
Pm11Ga9Rh4 | GGA-PBE | optimized geometry

Unit cell a=3.7607 b=12.7310 c=12.7310 alpha=112.55 beta=90.00 gamma=90.00
Atoms (fractional coordinates):
1 Pm 0.0000 0.5878 0.9321
2 Pm 0.0000 0.4122 0.0679
3 Pm 0.0000 0.9321 0.5878
4 Pm 0.0000 0.0679 0.4122
5 Pm 0.0000 0.6261 0.3739
6 Pm 0.0000 0.3739 0.6261
7 Pm 0.0000 0.8311 0.1689
8 Pm 0.0000 0.1689 0.8311
9 Pm 0.0000 0.0000 0.0000
10 Pm 0.0000 0.6938 0.6938
11 Pm 0.0000 0.3062 0.3062
12 Ga 0.5000 0.6306 0.1675
13 Ga 0.5000 0.3694 0.8325
14 Ga 0.5000 0.1675 0.6306
15 Ga 0.5000 0.8325 0.3694
16 Ga 0.5000 0.7826 0.9224
17 Ga 0.5000 0.2174 0.0776
18 Ga 0.5000 0.9224 0.7826
19 Ga 0.5000 0.0776 0.2174
20 Ga 0.5000 0.5000 0.5000
21 Rh 0.5000 0.5543 0.7583
22 Rh 0.5000 0.4457 0.2417
23 Rh 0.5000 0.7583 0.5543
24 Rh 0.5000 0.2417 0.4457

Properties
crystal system	orthorhombic
final energy	-0.19097	Ha/atom
space-group type	Cmmm


(6)
Pm7Ga2Rh2 | GGA-PBE | optimized geometry

Unit cell a=6.8506 b=7.1205 c=6.8506 alpha=90.00 beta=109.09 gamma=90.00
Atoms (fractional coordinates):
1 Pm 0.0000 0.2623 0.5000
2 Pm 0.5000 0.7377 0.0000
3 Pm 0.0000 0.7377 0.5000
4 Pm 0.5000 0.2623 0.0000
5 Pm 0.0000 0.0000 0.0000
6 Pm 0.5000 0.7425 0.5000
7 Pm 0.5000 0.2575 0.5000
8 Ga 0.8372 0.5000 0.8372
9 Ga 0.1628 0.5000 0.1628
10 Rh 0.7045 0.0000 0.2955
11 Rh 0.2955 0.0000 0.7045

Properties
crystal system	orthorhombic
final energy	-0.19471	Ha/atom
space-group type	Cmmm


(7)
PmGa11Rh | GGA-PBE | optimized geometry

Unit cell a=5.1877 b=7.9673 c=6.6429 alpha=82.88 beta=67.02 gamma=71.49
Atoms (fractional coordinates):
1 Pm 0.0000 0.0000 0.0000
2 Ga 0.2746 0.2288 0.2173
3 Ga 0.7254 0.7712 0.7827
4 Ga 0.5082 0.7712 0.2173
5 Ga 0.4918 0.2288 0.7827
6 Ga 0.3748 0.6360 0.6484
7 Ga 0.6252 0.3640 0.3516
8 Ga 0.9768 0.3640 0.6484
9 Ga 0.0232 0.6360 0.3516
10 Ga 0.0000 0.5000 0.0000
11 Ga 0.5000 0.0000 0.5000
12 Ga 0.0000 0.0000 0.5000
13 Rh 0.5000 0.5000 0.0000

Properties
crystal system	monoclinic
final energy	-0.13678	Ha/atom
space-group type	C2/m


(8)
PmGaRh2 | GGA-PBE | optimized geometry

Unit cell a=4.6434 b=4.6434 c=4.6434 alpha=60.00 beta=60.00 gamma=60.00
Atoms (fractional coordinates):
1 Rh 0.2500 0.2500 0.2500
2 Rh 0.7500 0.7500 0.7500
3 Ga 0.5000 0.5000 0.5000
4 Pm 0.0000 0.0000 0.0000

Properties
crystal system	cubic
final energy	-0.23156	Ha/atom
space-group type	Fm-3m


(9)
Pm3Ga2Rh6 | GGA-PBE | optimized geometry

Unit cell a=8.1616 b=8.1616 c=8.1616 alpha=109.47 beta=109.47 gamma=109.47
Atoms (fractional coordinates):
1 Pm 0.7108 0.0000 0.7108
2 Pm 0.2892 0.0000 0.2892
3 Pm 0.0000 0.2892 0.2892
4 Pm 0.0000 0.7108 0.7108
5 Pm 0.2892 0.2892 0.0000
6 Pm 0.7108 0.7108 0.0000
7 Ga 0.0000 0.5000 0.0000
8 Ga 0.5000 0.0000 0.0000
9 Ga 0.0000 0.0000 0.5000
10 Ga 0.5000 0.5000 0.5000
11 Rh 0.6557 0.3115 0.6557
12 Rh 0.6557 0.0000 0.3443
13 Rh 0.3443 0.0000 0.6557
14 Rh 0.3443 0.6885 0.3443
15 Rh 0.0000 0.6557 0.3443
16 Rh 0.6885 0.3443 0.3443
17 Rh 0.3115 0.6557 0.6557
18 Rh 0.0000 0.3443 0.6557
19 Rh 0.3443 0.6557 0.0000
20 Rh 0.6557 0.6557 0.3115
21 Rh 0.3443 0.3443 0.6885
22 Rh 0.6557 0.3443 0.0000

Properties
crystal system	cubic
final energy	-0.24015	Ha/atom
space-group type	Im-3m


(10)
Pm3GaRh | GGA-PBE | optimized geometry

Unit cell a=5.9578 b=5.9578 c=9.0311 alpha=67.39 beta=67.39 gamma=66.11
Atoms (fractional coordinates):
1 Pm 0.3107 0.3107 0.8715
2 Pm 0.6893 0.6893 0.1285
3 Pm 0.0310 0.0310 0.7411
4 Pm 0.9690 0.9690 0.2589
5 Pm 0.7005 0.7005 0.6781
6 Pm 0.2995 0.2995 0.3219
7 Ga 0.6949 0.3051 0.5000
8 Ga 0.3051 0.6949 0.5000
9 Rh 0.2746 0.7254 0.0000
10 Rh 0.7254 0.2746 0.0000

Properties
crystal system	monoclinic
final energy	-0.20033	Ha/atom
space-group type	C2/m


(11)
Pm3Ga2Rh4 | GGA-PBE | optimized geometry

Unit cell a=4.1828 b=5.9213 c=8.6772 alpha=111.42 beta=90.00 gamma=110.68
Atoms (fractional coordinates):
1 Pm 0.6308 0.2617 0.7013
2 Pm 0.0000 0.0000 0.0000
3 Pm 0.3692 0.7383 0.2987
4 Ga 0.6660 0.3320 0.3284
5 Ga 0.3340 0.6680 0.6716
6 Rh 0.7106 0.4212 0.0677
7 Rh 0.2894 0.5788 0.9323
8 Rh 0.9032 0.8065 0.5672
9 Rh 0.0968 0.1935 0.4328

Properties
distance to the lowest polymorph of the same formula	0.043	eV per atom
crystal system	monoclinic
final energy	-0.22985	Ha/atom
space-group type	C2/m


(12)
Pm4GaRh4 | GGA-PBE | optimized geometry

Unit cell a=5.5884 b=8.0479 c=9.2984 alpha=101.68 beta=90.00 gamma=90.00
Atoms (fractional coordinates):
1 Pm 0.1165 0.5010 0.1925
2 Pm 0.1165 0.9990 0.3075
3 Pm 0.6207 0.8362 0.0773
4 Pm 0.6207 0.6638 0.4227
5 Pm 0.8835 0.4990 0.8075
6 Pm 0.8835 0.0010 0.6925
7 Pm 0.3793 0.1638 0.9227
8 Pm 0.3793 0.3362 0.5773
9 Ga 0.6569 0.2500 0.2500
10 Ga 0.3431 0.7500 0.7500
11 Rh 0.1119 0.6578 0.5068
12 Rh 0.1119 0.8422 0.9932
13 Rh 0.6299 0.4760 0.1122
14 Rh 0.6299 0.0240 0.3878
15 Rh 0.8881 0.3422 0.4932
16 Rh 0.8881 0.1578 0.0068
17 Rh 0.3701 0.5240 0.8878
18 Rh 0.3701 0.9760 0.6122

Properties
crystal system	monoclinic
final energy	-0.23469	Ha/atom
space-group type	P2/c


| no. | energy relative to the elements (eV/atom) | N(E_F) (states/eV per atom) |
| --- | --- | --- |
| 1 | 0.65 | 1.204 |
| 2 | -0.66 | 0.576 |
| 3 | -0.67 | 0.439 |
| 4 | -0.79 | 0.688 |
| 5 | -0.66 | 0.748 |
| 6 | -0.39 | 0.912 |
| 7 | -0.23 | 0.405 |
| 8 | -0.68 | 0.265 |
| 9 | -0.68 | 0.941 |
| 10 | -0.53 | 0.794 |
| 11 | -0.73 | 0.487 |
| 12 | -0.67 | 0.597 |